# 1
# ReMoW2

Crystalline ReMoW2 at its relaxed geometry (PBE-GGA, Alexandria via LeMat-Bulk).

Properties
Electronic total energy ... -12.276 eV per atom
Calculated volume ... 63.1 Å³ per cell
Calculated formation energy ... 20 meV/atom
Offset from the most stable computed form ... 0.05 eV/f.u.

Unit cell a=3.160 b=3.160 c=6.316 alpha=90.00 beta=90.00 gamma=90.00
Element x y z (fractional)
1 Mo 0.500 0.500 0.250
2 Re 0.500 0.500 0.750
3 W 0.000 0.000 0.499
4 W 0.000 0.000 0.001

=====

# 2
# Li2TaC2

Crystalline Li2TaC2 at its relaxed geometry (PBE-GGA, Alexandria via LeMat-Bulk).

Properties
Electronic total energy ... -5.888 eV per atom
Calculated volume ... 92.7 Å³ per cell
Calculated formation energy ... 938 meV/atom
Offset from the most stable computed form ... 0.22 eV/f.u.

Unit cell a=6.101 b=6.101 c=2.490 alpha=90.00 beta=90.00 gamma=90.00
Element x y z (fractional)
1 C 0.309 0.191 0.500
2 C 0.691 0.809 0.500
3 C 0.191 0.691 0.500
4 Ta 0.000 0.000 0.000
5 Li 0.394 0.894 0.000
6 Li 0.606 0.106 0.000
7 Li 0.894 0.606 0.000
8 Ta 0.500 0.500 0.000
9 Li 0.106 0.394 0.000
10 C 0.809 0.309 0.500

=====

# 3
# ZrNi2Ir

Crystalline ZrNi2Ir at its relaxed geometry (PBE-GGA, Alexandria via LeMat-Bulk).

Properties
Electronic total energy ... -7.520 eV per atom
Calculated volume ... 59.1 Å³ per cell
Calculated formation energy ... -277 meV/atom

Unit cell a=4.372 b=4.372 c=4.372 alpha=60.00 beta=60.00 gamma=60.00
Element x y z (fractional)
1 Ni 0.000 0.000 0.000
2 Ir 0.500 0.500 0.500
3 Ni 0.250 0.250 0.250
4 Zr 0.750 0.750 0.750

=====

Repeat the first record exactly.
# ReMoW2

Crystalline ReMoW2 at its relaxed geometry (PBE-GGA, Alexandria via LeMat-Bulk).

Properties
Electronic total energy ... -12.276 eV per atom
Calculated volume ... 63.1 Å³ per cell
Calculated formation energy ... 20 meV/atom
Offset from the most stable computed form ... 0.05 eV/f.u.

Unit cell a=3.160 b=3.160 c=6.316 alpha=90.00 beta=90.00 gamma=90.00
Element x y z (fractional)
1 Mo 0.500 0.500 0.250
2 Re 0.500 0.500 0.750
3 W 0.000 0.000 0.499
4 W 0.000 0.000 0.001